1.
Here is an optimized crystal structure of TiIr2Cl from Alexandria via LeMat-Bulk. Energies are from PBE.

Calculated values
- Crystal system: cubic
- SG: No. 225
- Uncorrected formation energy: 1.62 eV per formula unit
- Excess energy over the best structure of this formula in the dataset: 0 meV per atom
- Mass density: 12.41 g/cm3

The structure in POSCAR format:
```
TiIr2Cl
1.0
-3.596 -1.974 1.742
-3.428 -1.101 -2.625
-0.840 -4.285 -0.888
Ir Ti Cl
2 1 1
Direct
0.750 0.750 0.750
0.250 0.250 0.250
0.500 0.500 0.500
0.000 0.000 0.000
```

***

2.
Here is an optimized crystal structure of TiIr3Cl from Alexandria via LeMat-Bulk. Energies are from PBE.

Calculated values
- Crystal system: cubic
- SG: No. 221
- Uncorrected formation energy: 7.85 eV per formula unit
- Excess energy over the best structure of this formula in the dataset: 372 meV per atom
- Mass density: 10.64 g/cm3

The structure in POSCAR format:
```
TiIr3Cl
1.0
4.688 0.000 0.000
0.000 4.688 0.000
0.000 0.000 4.688
Ir Ti Cl
3 1 1
Direct
0.500 0.000 0.000
0.000 0.000 0.500
0.000 0.500 0.000
0.000 0.000 0.000
0.500 0.500 0.500
```

***

3.
Here is an optimized crystal structure of TiIr3Cl from Alexandria via LeMat-Bulk. Energies are from PBE.

Calculated values
- Crystal system: cubic
- SG: No. 221
- Uncorrected formation energy: 6.00 eV per formula unit
- Excess energy over the best structure of this formula in the dataset: 0 meV per atom
- Mass density: 12.72 g/cm3

The structure in POSCAR format:
```
TiIr3Cl
1.0
-4.217 -0.639 1.143
1.268 -1.031 4.102
-0.327 4.246 1.168
Ir Cl Ti
3 1 1
Direct
0.000 0.500 0.000
0.500 0.000 0.000
0.000 0.000 0.500
0.000 0.000 0.000
0.500 0.500 0.500
```